## Rb2PuNp2S6 (PBE)

Data for Rb2PuNp2S6 after structural relaxation.

Results
**ρ**: 5.32 g/cm³
**Total magnetic moment**: 1.71 μB/f.u.
**Density of states at the Fermi level**: 2.5772 states/eV per atom
**Raw formation energy**: -1515 kJ/mol of formula units

Cell and atoms, written as CIF:
```
data_Rb2PuNp2S6
_symmetry_space_group_name_H-M 'C 1 2/m 1'
_symmetry_Int_Tables_number 12
_cell_length_a 7.049
_cell_length_b 12.264
_cell_length_c 8.150
_cell_angle_alpha 90.00
_cell_angle_beta 106.58
_cell_angle_gamma 90.00
loop_
_symmetry_equiv_pos_as_xyz
'x,y,z'
'-x,-y,-z'
'-x,y,-z'
'x,-y,z'
'x+1/2,y+1/2,z'
'-x+1/2,-y+1/2,-z'
'-x+1/2,y+1/2,-z'
'x+1/2,-y+1/2,z'
loop_
_atom_site_label
_atom_site_type_symbol
_atom_site_fract_x
_atom_site_fract_y
_atom_site_fract_z
Rb1 Rb 0.000 0.166 0.000
Pu1 Pu 0.000 0.000 0.500
Np1 Np 0.000 0.334 0.500
S1 S 0.220 0.500 0.685
S2 S 0.230 0.172 0.684
```

## ZnHgAs2 (PBE)

Data for ZnHgAs2 after structural relaxation.

Results
**ρ**: 7.61 g/cm³
**Excess energy over the best structure of this formula in the dataset**: 0 meV per atom
**Total magnetic moment**: 0.00 μB/f.u.
**DFT formation energy**: 0.078 eV/atom
**Density of states at the Fermi level**: 0.2087 states/eV per atom

Cell and atoms, written as CIF:
```
data_ZnHgAs2
_symmetry_space_group_name_H-M 'C 1 m 1'
_symmetry_Int_Tables_number 8
_cell_length_a 7.834
_cell_length_b 3.748
_cell_length_c 6.453
_cell_angle_alpha 90.00
_cell_angle_beta 106.80
_cell_angle_gamma 90.00
loop_
_symmetry_equiv_pos_as_xyz
'x,y,z'
'x,-y,z'
'x+1/2,y+1/2,z'
'x+1/2,-y+1/2,z'
loop_
_atom_site_label
_atom_site_type_symbol
_atom_site_fract_x
_atom_site_fract_y
_atom_site_fract_z
Zn1 Zn 0.000 0.000 0.000
Hg1 Hg 0.319 0.500 0.283
As1 As 0.111 0.500 0.543
As2 As 0.235 0.000 0.812
```

## ThTeHI (PBE)

Data for ThTeHI after structural relaxation.

Results
**ρ**: 6.78 g/cm³
**Total magnetic moment**: 0.00 μB/f.u.
**E_tot**: -4.945 eV per atom
**Density of states at the Fermi level**: 0.0000 states/eV per atom

Cell and atoms, written as CIF:
```
data_ThTeHI
_symmetry_space_group_name_H-M 'C 1 m 1'
_symmetry_Int_Tables_number 8
_cell_length_a 7.238
_cell_length_b 4.178
_cell_length_c 8.257
_cell_angle_alpha 90.00
_cell_angle_beta 107.08
_cell_angle_gamma 90.00
loop_
_symmetry_equiv_pos_as_xyz
'x,y,z'
'x,-y,z'
'x+1/2,y+1/2,z'
'x+1/2,-y+1/2,z'
loop_
_atom_site_label
_atom_site_type_symbol
_atom_site_fract_x
_atom_site_fract_y
_atom_site_fract_z
Th1 Th 0.000 0.000 0.000
Te1 Te 0.251 0.500 0.251
H1 H 0.328 0.000 0.985
I1 I 0.072 0.500 0.718
```

## ZrTc2F (PBE)

Data for ZrTc2F after structural relaxation.

Results
**ρ**: 8.13 g/cm³
**Excess energy over the best structure of this formula in the dataset**: 466 meV per atom
**Total magnetic moment**: 0.00 μB/f.u.
**Density of states at the Fermi level**: 1.8641 states/eV per atom
**Raw formation energy**: 155 kJ/mol of formula units

Cell and atoms, written as CIF:
```
data_ZrTc2F
_symmetry_space_group_name_H-M 'F m -3 m'
_symmetry_Int_Tables_number 225
_symmetry_space_group_name_Hall '-F 4 2 3'
_cell_length_a 6.300
_cell_length_b 6.300
_cell_length_c 6.300
_cell_angle_alpha 90.00
_cell_angle_beta 90.00
_cell_angle_gamma 90.00
loop_
_atom_site_label
_atom_site_type_symbol
_atom_site_fract_x
_atom_site_fract_y
_atom_site_fract_z
Zr1 Zr 0.000 0.000 0.000
Tc1 Tc 0.250 0.250 0.250
F1 F 0.000 0.000 0.500
```

## AlSe5 (PBE)

Data for AlSe5 after structural relaxation.

Results
**ρ**: 3.86 g/cm³
**Excess energy over the best structure of this formula in the dataset**: 160 meV per atom
**Total magnetic moment**: 0.00 μB/f.u.
**Density of states at the Fermi level**: 0.6759 states/eV per atom
**Raw formation energy**: -8 kJ/mol of formula units

Cell and atoms, written as CIF:
```
data_AlSe5
_symmetry_space_group_name_H-M 'C m m m'
_symmetry_Int_Tables_number 65
_symmetry_space_group_name_Hall '-C 2 2'
_cell_length_a 3.639
_cell_length_b 11.398
_cell_length_c 8.744
_cell_angle_alpha 90.00
_cell_angle_beta 90.00
_cell_angle_gamma 90.00
loop_
_atom_site_label
_atom_site_type_symbol
_atom_site_fract_x
_atom_site_fract_y
_atom_site_fract_z
Al1 Al 0.000 0.000 0.000
Se1 Se 0.000 0.167 0.500
Se2 Se 0.000 0.357 0.000
Se3 Se 0.000 0.500 0.500
```

## Ac4Tl5In (PBE)

Data for Ac4Tl5In after structural relaxation.

Results
**ρ**: 9.99 g/cm³
**Total magnetic moment**: 0.00 μB/f.u.
**DFT formation energy**: -0.337 eV/atom
**Density of states at the Fermi level**: 0.7124 states/eV per atom

Cell and atoms, written as CIF:
```
data_Ac4Tl5In
_symmetry_space_group_name_H-M 'C 1 2/m 1'
_symmetry_Int_Tables_number 12
_cell_length_a 17.941
_cell_length_b 5.578
_cell_length_c 7.010
_cell_angle_alpha 90.00
_cell_angle_beta 104.30
_cell_angle_gamma 90.00
loop_
_symmetry_equiv_pos_as_xyz
'x,y,z'
'-x,-y,-z'
'-x,y,-z'
'x,-y,z'
'x+1/2,y+1/2,z'
'-x+1/2,-y+1/2,-z'
'-x+1/2,y+1/2,-z'
'x+1/2,-y+1/2,z'
loop_
_atom_site_label
_atom_site_type_symbol
_atom_site_fract_x
_atom_site_fract_y
_atom_site_fract_z
Ac1 Ac 0.093 0.000 0.322
Ac2 Ac 0.190 0.500 0.819
Tl1 Tl 0.000 0.500 0.000
Tl2 Tl 0.097 0.000 0.837
Tl3 Tl 0.216 0.500 0.332
In1 In 0.000 0.500 0.500
```

## ThAg4B3Pt12 (PBE)

Data for ThAg4B3Pt12 after structural relaxation.

Results
**ρ**: 14.20 g/cm³
**Total magnetic moment**: 0.00 μB/f.u.
**DFT formation energy**: 0.238 eV/atom
**Density of states at the Fermi level**: 0.5989 states/eV per atom

Cell and atoms, written as CIF:
```
data_ThAg4B3Pt12
_symmetry_space_group_name_H-M 'I m -3 m'
_symmetry_Int_Tables_number 229
_symmetry_space_group_name_Hall '-I 4 2 3'
_cell_length_a 8.922
_cell_length_b 8.922
_cell_length_c 8.922
_cell_angle_alpha 90.00
_cell_angle_beta 90.00
_cell_angle_gamma 90.00
loop_
_atom_site_label
_atom_site_type_symbol
_atom_site_fract_x
_atom_site_fract_y
_atom_site_fract_z
Th1 Th 0.000 0.000 0.000
Ag1 Ag 0.250 0.250 0.250
B1 B 0.000 0.000 0.500
Pt1 Pt 0.000 0.000 0.283
Pt2 Pt 0.000 0.250 0.500
```

## Mg3Ga2Hg8 (PBE)

Data for Mg3Ga2Hg8 after structural relaxation.

Results
**ρ**: 9.64 g/cm³
**Total magnetic moment**: 0.00 μB/f.u.
**DFT formation energy**: -0.031 eV/atom
**Density of states at the Fermi level**: 0.2576 states/eV per atom

Cell and atoms, written as CIF:
```
data_Mg3Ga2Hg8
_symmetry_space_group_name_H-M 'P -1'
_symmetry_Int_Tables_number 2
_cell_length_a 6.876
_cell_length_b 7.389
_cell_length_c 7.396
_cell_angle_alpha 61.16
_cell_angle_beta 74.47
_cell_angle_gamma 74.52
loop_
_symmetry_equiv_pos_as_xyz
'x,y,z'
'-x,-y,-z'
loop_
_atom_site_label
_atom_site_type_symbol
_atom_site_fract_x
_atom_site_fract_y
_atom_site_fract_z
Mg1 Mg 0.000 0.000 0.000
Mg2 Mg 0.500 0.232 0.767
Ga1 Ga 0.425 0.766 0.766
Hg1 Hg 0.189 0.622 0.622
Hg2 Hg 0.203 0.161 0.160
Hg3 Hg 0.208 0.171 0.580
Hg4 Hg 0.209 0.581 0.172
```

## AcTmBiO5 (PBE)

Data for AcTmBiO5 after structural relaxation.

Results
**ρ**: 7.87 g/cm³
**Total magnetic moment**: 0.90 μB/f.u.
**Density of states at the Fermi level**: 0.2844 states/eV per atom
**Raw formation energy**: -1898 kJ/mol of formula units

Cell and atoms, written as CIF:
```
data_AcTmBiO5
_symmetry_space_group_name_H-M 'C 1 2/c 1'
_symmetry_Int_Tables_number 15
_cell_length_a 7.866
_cell_length_b 9.983
_cell_length_c 8.326
_cell_angle_alpha 90.00
_cell_angle_beta 117.91
_cell_angle_gamma 90.00
loop_
_symmetry_equiv_pos_as_xyz
'x,y,z'
'-x,-y,-z'
'-x,y,-z+1/2'
'x,-y,z+1/2'
'x+1/2,y+1/2,z'
'-x+1/2,-y+1/2,-z'
'-x+1/2,y+1/2,-z+1/2'
'x+1/2,-y+1/2,z+1/2'
loop_
_atom_site_label
_atom_site_type_symbol
_atom_site_fract_x
_atom_site_fract_y
_atom_site_fract_z
Ac1 Ac 0.000 0.188 0.250
Tm1 Tm 0.000 0.500 0.000
Bi1 Bi 0.000 0.187 0.750
O1 O 0.000 0.425 0.250
O2 O 0.112 0.285 0.581
O3 O 0.191 0.041 0.916
```

## Pr2Ho2Sc3 (PBE)

Data for Pr2Ho2Sc3 after structural relaxation.

Results
**ρ**: 5.93 g/cm³
**Total magnetic moment**: 0.00 μB/f.u.
**DFT formation energy**: 0.216 eV/atom
**Density of states at the Fermi level**: 1.5053 states/eV per atom

Cell and atoms, written as CIF:
```
data_Pr2Ho2Sc3
_symmetry_space_group_name_H-M 'I 21 3'
_symmetry_Int_Tables_number 199
_symmetry_space_group_name_Hall 'I 2b 2c 3'
_cell_length_a 9.423
_cell_length_b 9.423
_cell_length_c 9.423
_cell_angle_alpha 90.00
_cell_angle_beta 90.00
_cell_angle_gamma 90.00
loop_
_atom_site_label
_atom_site_type_symbol
_atom_site_fract_x
_atom_site_fract_y
_atom_site_fract_z
Pr1 Pr 0.163 0.337 0.663
Ho1 Ho 0.037 0.037 0.037
Sc1 Sc 0.000 0.250 0.292
```

## TcNiH2 (PBE)

Data for TcNiH2 after structural relaxation.

Results
**ρ**: 8.40 g/cm³
**Excess energy over the best structure of this formula in the dataset**: 49 meV per atom
**Total magnetic moment**: 0.00 μB/f.u.
**Density of states at the Fermi level**: 0.6855 states/eV per atom

Cell and atoms, written as CIF:
```
data_TcNiH2
_symmetry_space_group_name_H-M 'R 3 m'
_symmetry_Int_Tables_number 160
_symmetry_space_group_name_Hall 'R 3 -2"'
_cell_length_a 2.7692
_cell_length_b 2.7692
_cell_length_c 14.1647
_cell_angle_alpha 90.00
_cell_angle_beta 90.00
_cell_angle_gamma 120.00
loop_
_atom_site_label
_atom_site_type_symbol
_atom_site_fract_x
_atom_site_fract_y
_atom_site_fract_z
Tc1 Tc 0.0000 0.0000 0.0000
Ni1 Ni 0.0000 0.0000 0.1819
H1 H 0.0000 0.0000 0.5796
H2 H 0.0000 0.0000 0.7492
```

## Zn2TcOs (PBE)

Data for Zn2TcOs after structural relaxation.

Results
**ρ**: 12.04 g/cm³
**Excess energy over the best structure of this formula in the dataset**: 272 meV per atom
**Total magnetic moment**: 0.00 μB/f.u.
**DFT formation energy**: 0.255 eV/atom
**Density of states at the Fermi level**: 0.8313 states/eV per atom

Cell and atoms, written as CIF:
```
data_Zn2TcOs
_symmetry_space_group_name_H-M 'C m m m'
_symmetry_Int_Tables_number 65
_symmetry_space_group_name_Hall '-C 2 2'
_cell_length_a 2.878
_cell_length_b 4.520
_cell_length_c 8.884
_cell_angle_alpha 90.00
_cell_angle_beta 90.00
_cell_angle_gamma 90.00
loop_
_atom_site_label
_atom_site_type_symbol
_atom_site_fract_x
_atom_site_fract_y
_atom_site_fract_z
Zn1 Zn 0.000 0.000 0.250
Tc1 Tc 0.000 0.500 0.000
Os1 Os 0.000 0.500 0.500
```